Below is a geometry-optimized FeHgPbO2 structure, with properties calculated at the PBE+U level.

Lattice parameters (Å, degrees): 4.074 5.310 4.074 90.00 90.00 90.00
Fractional positions:
O 0.500 0.000 0.000
O 0.000 0.000 0.500
Fe 0.000 0.000 0.000
Pb 0.500 0.500 0.500
Hg 0.000 0.500 0.000

* crystal system: tetragonal
* energy: -4.192 eV per atom